No. 1
# PmSc2Rh

An optimized crystal structure of PmSc2Rh (GGA-PBE, the Alexandria database).

For the electronic total energy, the calculation gives -6.68 eV/atom. The energy of formation is -47.4 kJ/mol of atoms. The polymorph energy (0 for the lowest one) comes out at 0.0000 eV/atom. Its crystal system is orthorhombic.

The structure belongs to space group Pnma (No. 62); the cell edges are 7.0025, 8.8929 and 6.1312 Å and the angles 90.00°, 90.00° and 90.00°. The inequivalent atoms are Pm at (0.0307, 0.2500, 0.1296), Sc at (0.1758, 0.0631, 0.6609) and Rh at (0.1155, 0.7500, 0.4146).

=====

No. 2
# CaTl12Pb6

An optimized crystal structure of CaTl12Pb6 (GGA-PBE, the Alexandria database).

For the electronic total energy, the calculation gives -2.79 eV/atom. The energy of formation is -1.9 kJ/mol of atoms. The polymorph energy (0 for the lowest one) comes out at 0.0000 eV/atom. Its crystal system is trigonal.

The structure belongs to space group R-3 (No. 148, hexagonal axes); the cell edges are 12.0083, 12.0083 and 14.5805 Å and the angles 90.00°, 90.00° and 120.00°. The inequivalent atoms are Ca at (0.0000, 0.0000, 0.0000), Tl at (0.0388, 0.8540, 0.8104), Tl at (0.0646, 0.2223, 0.4153) and Pb at (0.0263, 0.5911, 0.7049).

=====

No. 3
# TmAgAu5

An optimized crystal structure of TmAgAu5 (GGA-PBE, the Alexandria database).

For the electronic total energy, the calculation gives -3.72 eV/atom. The energy of formation is -31.8 kJ/mol of atoms. Its crystal system is monoclinic.

The structure belongs to space group C2/c (No. 15); the cell edges are 9.6843, 8.1807 and 7.3950 Å and the angles 90.00°, 107.20° and 90.00°. The inequivalent atoms are Tm at (0.2500, 0.2500, 0.0000), Ag at (0.0000, 0.2284, 0.2500), Au at (0.0000, 0.4276, 0.7500), Au at (0.0960, 0.0929, 0.6409) and Au at (0.2075, 0.4050, 0.5695).

=====

No. 4
# Ba2InHg4Bi3

An optimized crystal structure of Ba2InHg4Bi3 (GGA-PBE, the Alexandria database).

For the electronic total energy, the calculation gives -2.29 eV/atom. The energy of formation is -33.2 kJ/mol of atoms. Its crystal system is tetragonal.

The structure belongs to space group P-4m2 (No. 115); the cell edges are 5.3307, 5.3307 and 11.8636 Å and the angles 90.00°, 90.00° and 90.00°. The inequivalent atoms are Ba at (0.0000, 0.5000, 0.2471), In at (0.0000, 0.0000, 0.5000), Hg at (0.0000, 0.0000, 0.0000), Hg at (0.0000, 0.5000, 0.6221), Hg at (0.5000, 0.5000, 0.0000), Bi at (0.0000, 0.5000, 0.8693) and Bi at (0.5000, 0.5000, 0.5000).

=====

No. 5
# MgH4Ir3

An optimized crystal structure of MgH4Ir3 (GGA-PBE, the Alexandria database).

For the electronic total energy, the calculation gives -5.22 eV/atom. Its crystal system is triclinic.

The structure belongs to space group P1 (No. 1); the cell edges are 2.7989, 4.8210 and 6.6920 Å and the angles 71.55°, 77.96° and 73.21°. The inequivalent atoms are Mg at (0.0000, 0.0000, 0.0000), H at (0.1491, 0.2626, 0.4405), H at (0.2417, 0.5596, 0.9549), H at (0.3342, 0.1526, 0.1809), H at (0.9888, 0.7072, 0.3144), Ir at (0.3591, 0.8803, 0.4028), Ir at (0.5651, 0.2477, 0.6230) and Ir at (0.7960, 0.6373, 0.7719).

=====

No. 6
# LiSi3Os

An optimized crystal structure of LiSi3Os (GGA-PBE, the Alexandria database).

For the electronic total energy, the calculation gives -5.40 eV/atom. The polymorph energy (0 for the lowest one) comes out at 0.0000 eV/atom. Its crystal system is cubic. As for the uncorrected formation energy: 0.485 eV/atom.

The structure belongs to space group Pm-3m (No. 221); the cell edges are 4.6979, 4.6979 and 4.6979 Å and the angles 90.00°, 90.00° and 90.00°. The inequivalent atoms are Li at (0.0000, 0.0000, 0.0000), Si at (0.0000, 0.5000, 0.5000) and Os at (0.5000, 0.5000, 0.5000).

=====

No. 7
# Si3PO

An optimized crystal structure of Si3PO (GGA-PBE, the Alexandria database).

For the electronic total energy, the calculation gives -4.90 eV/atom. The polymorph energy (0 for the lowest one) comes out at 0.0000 eV/atom. Its crystal system is cubic. As for the uncorrected formation energy: 0.425 eV/atom.

The structure belongs to space group Pm-3m (No. 221); the cell edges are 4.2170, 4.2170 and 4.2170 Å and the angles 90.00°, 90.00° and 90.00°. The inequivalent atoms are Si at (0.0000, 0.0000, 0.5000), P at (0.5000, 0.5000, 0.5000) and O at (0.0000, 0.0000, 0.0000).

=====

No. 8
# Pu2Pd3Pt3

An optimized crystal structure of Pu2Pd3Pt3 (GGA-PBE, the Alexandria database).

For the electronic total energy, the calculation gives -8.45 eV/atom. The energy of formation is -63.2 kJ/mol of atoms. Its crystal system is orthorhombic.

The structure belongs to space group Pmmm (No. 47); the cell edges are 4.1412, 4.1427 and 8.3222 Å and the angles 90.00°, 90.00° and 90.00°. The inequivalent atoms are Pu at (0.0000, 0.0000, 0.2494), Pd at (0.0000, 0.5000, 0.5000), Pd at (0.5000, 0.0000, 0.0000), Pd at (0.5000, 0.0000, 0.5000), Pt at (0.0000, 0.5000, 0.0000) and Pt at (0.5000, 0.5000, 0.2497).

=====

No. 9
# TaFe3Ni12

An optimized crystal structure of TaFe3Ni12 (GGA-PBE, the Alexandria database).

For the electronic total energy, the calculation gives -6.81 eV/atom. The energy of formation is -13.7 kJ/mol of atoms. Its crystal system is tetragonal.

The structure belongs to space group P4/mmm (No. 123); the cell edges are 3.5840, 3.5840 and 14.2880 Å and the angles 90.00°, 90.00° and 90.00°. The inequivalent atoms are Ta at (0.0000, 0.0000, 0.0000), Fe at (0.0000, 0.0000, 0.2567), Fe at (0.0000, 0.0000, 0.5000), Ni at (0.0000, 0.5000, 0.1304), Ni at (0.0000, 0.5000, 0.3770), Ni at (0.5000, 0.5000, 0.0000), Ni at (0.5000, 0.5000, 0.2535) and Ni at (0.5000, 0.5000, 0.5000).

=====

No. 10
# LiNbSi2

An optimized crystal structure of LiNbSi2 (GGA-PBE, the Alexandria database).

For the electronic total energy, the calculation gives -5.69 eV/atom. The polymorph energy (0 for the lowest one) comes out at 0.3061 eV/atom. Its crystal system is cubic. As for the uncorrected formation energy: 0.020 eV/atom.

The structure belongs to space group Fm-3m (No. 225); the cell edges are 6.2225, 6.2225 and 6.2225 Å and the angles 90.00°, 90.00° and 90.00°. The inequivalent atoms are Li at (0.0000, 0.0000, 0.0000), Nb at (0.0000, 0.0000, 0.5000) and Si at (0.2500, 0.2500, 0.2500).

=====

No. 11
# PmHo3Tm3

An optimized crystal structure of PmHo3Tm3 (GGA-PBE, the Alexandria database).

For the electronic total energy, the calculation gives -4.34 eV/atom. The energy of formation is 21.2 kJ/mol of atoms. The polymorph energy (0 for the lowest one) comes out at 0.2120 eV/atom. Its crystal system is trigonal.

The structure belongs to space group R-3 (No. 148, hexagonal axes); the cell edges are 8.5486, 8.5486 and 21.6053 Å and the angles 90.00°, 90.00° and 120.00°. The inequivalent atoms are Pm at (0.0000, 0.0000, 0.1514), Ho at (0.0562, 0.4493, 0.3797) and Tm at (0.0057, 0.2317, 0.5591).

=====

No. 12
# NaMg6Al

An optimized crystal structure of NaMg6Al (GGA-PBE, the Alexandria database).

For the electronic total energy, the calculation gives -1.77 eV/atom. The energy of formation is 5.8 kJ/mol of atoms. Its crystal system is orthorhombic.

The structure belongs to space group Amm2 (No. 38); the cell edges are 5.2094, 6.4559 and 10.8928 Å and the angles 90.00°, 90.00° and 90.00°. The inequivalent atoms are Na at (0.0000, 0.0000, 0.0000), Mg at (0.0000, 0.2476, 0.7495), Mg at (0.5000, 0.0000, 0.3285), Mg at (0.5000, 0.0000, 0.8256), Mg at (0.5000, 0.2420, 0.5767) and Al at (0.0000, 0.0000, 0.5005).

=====

No. 13
# Ca2Sm2Cd15

An optimized crystal structure of Ca2Sm2Cd15 (GGA-PBE, the Alexandria database).

For the electronic total energy, the calculation gives -1.57 eV/atom. The energy of formation is -13.1 kJ/mol of atoms. Its crystal system is trigonal.

The structure belongs to space group R-3m (No. 166, hexagonal axes); the cell edges are 10.0425, 10.0425 and 16.6331 Å and the angles 90.00°, 90.00° and 120.00°. The inequivalent atoms are Ca at (0.0000, 0.0000, 0.1760), Sm at (0.0000, 0.0000, 0.4102), Cd at (0.0000, 0.3026, 0.5000), Cd at (0.0000, 0.5000, 0.0000) and Cd at (0.0103, 0.5051, 0.6377).

=====

No. 14
# ScAsPb3

An optimized crystal structure of ScAsPb3 (GGA-PBE, the Alexandria database).

For the electronic total energy, the calculation gives -3.90 eV/atom. The energy of formation is 50.7 kJ/mol of atoms. The polymorph energy (0 for the lowest one) comes out at 0.0000 eV/atom. Its crystal system is cubic.

The structure belongs to space group Pm-3m (No. 221); the cell edges are 5.5368, 5.5368 and 5.5368 Å and the angles 90.00°, 90.00° and 90.00°. The inequivalent atoms are Sc at (0.0000, 0.0000, 0.0000), As at (0.5000, 0.5000, 0.5000) and Pb at (0.0000, 0.5000, 0.5000).

=====

No. 15
# BaTc2Ir

An optimized crystal structure of BaTc2Ir (GGA-PBE, the Alexandria database).

For the electronic total energy, the calculation gives -7.00 eV/atom. The energy of formation is 84.6 kJ/mol of atoms. The polymorph energy (0 for the lowest one) comes out at 0.5584 eV/atom. Its crystal system is orthorhombic.

The structure belongs to space group Immm (No. 71); the cell edges are 2.8869, 5.2444 and 10.5776 Å and the angles 90.00°, 90.00° and 90.00°. The inequivalent atoms are Ba at (0.0000, 0.0000, 0.0000), Tc at (0.0000, 0.5000, 0.2117) and Ir at (0.0000, 0.0000, 0.5000).

=====

No. 16
# K4GeBr6

An optimized crystal structure of K4GeBr6 (GGA-PBE, the Alexandria database).

For the electronic total energy, the calculation gives -3.14 eV/atom. Its crystal system is tetragonal. As for the uncorrected formation energy: -1.413 eV/atom.

The structure belongs to space group P4/mnc (No. 128); the cell edges are 9.0814, 9.0814 and 9.4692 Å and the angles 90.00°, 90.00° and 90.00°. The inequivalent atoms are K at (0.1762, 0.3238, 0.2500), Ge at (0.0000, 0.0000, 0.0000), Br at (0.0000, 0.0000, 0.2964) and Br at (0.0919, 0.6960, 0.0000).

=====

No. 17
# Al2AgAu

An optimized crystal structure of Al2AgAu (GGA-PBE, the Alexandria database).

For the electronic total energy, the calculation gives -3.47 eV/atom. The energy of formation is -6.3 kJ/mol of atoms. Its crystal system is orthorhombic.

The structure belongs to space group Pmmm (No. 47); the cell edges are 2.9499, 4.4722 and 5.2950 Å and the angles 90.00°, 90.00° and 90.00°. The inequivalent atoms are Al at (0.0000, 0.0000, 0.0000), Al at (0.5000, 0.0000, 0.5000), Ag at (0.0000, 0.5000, 0.5000) and Au at (0.5000, 0.5000, 0.0000).

=====

No. 18
# KP3H

An optimized crystal structure of KP3H (GGA-PBE, the Alexandria database).

For the electronic total energy, the calculation gives -3.42 eV/atom. Its crystal system is cubic.

The structure belongs to space group Pm-3m (No. 221); the cell edges are 4.2998, 4.2998 and 4.2998 Å and the angles 90.00°, 90.00° and 90.00°. The inequivalent atoms are K at (0.0000, 0.0000, 0.0000), P at (0.0000, 0.5000, 0.5000) and H at (0.5000, 0.5000, 0.5000).

=====

No. 19
# NdHf2F11

An optimized crystal structure of NdHf2F11 (GGA-PBE, the Alexandria database).

For the electronic total energy, the calculation gives -7.16 eV/atom. Its crystal system is orthorhombic. As for the uncorrected formation energy: -3.923 eV/atom.

The structure belongs to space group Ibam (No. 72); the cell edges are 7.7819, 10.0551 and 11.0053 Å and the angles 90.00°, 90.00° and 90.00°. The inequivalent atoms are Nd at (0.0000, 0.0000, 0.2500), Hf at (0.1341, 0.3189, 0.0000), F at (0.0000, 0.5000, 0.0000), F at (0.1021, 0.1848, 0.1360), F at (0.1297, 0.2811, 0.5000) and F at (0.2362, 0.0768, 0.3706).

=====

No. 20
# Np2PaNi9

An optimized crystal structure of Np2PaNi9 (GGA-PBE, the Alexandria database).

For the electronic total energy, the calculation gives -7.55 eV/atom. The energy of formation is -25.9 kJ/mol of atoms. Its crystal system is trigonal.

The structure belongs to space group R-3m (No. 166, hexagonal axes); the cell edges are 4.8751, 4.8751 and 24.5226 Å and the angles 90.00°, 90.00° and 120.00°. The inequivalent atoms are Np at (0.0000, 0.0000, 0.1448), Pa at (0.0000, 0.0000, 0.0000), Ni at (0.0000, 0.0000, 0.3332), Ni at (0.0000, 0.0000, 0.5000) and Ni at (0.0000, 0.5000, 0.0823).

=====

Number 1: calculated volume 382 Å³/cell. Number 2: calculated volume 1821 Å³/cell. Number 3: calculated volume 560 Å³/cell. Number 4: calculated volume 337 Å³/cell. Number 5: calculated volume 81 Å³/cell. Number 6: calculated volume 104 Å³/cell. Number 7: calculated volume 75 Å³/cell. Number 8: calculated volume 143 Å³/cell. Number 9: calculated volume 184 Å³/cell. Number 10: calculated volume 241 Å³/cell. Number 11: calculated volume 1367 Å³/cell. Number 12: calculated volume 366 Å³/cell. Number 13: calculated volume 1453 Å³/cell. Number 14: calculated volume 170 Å³/cell. Number 15: calculated volume 160 Å³/cell. Number 16: calculated volume 781 Å³/cell. Number 17: calculated volume 70 Å³/cell. Number 18: calculated volume 79 Å³/cell. Number 19: calculated volume 861 Å³/cell. Number 20: calculated volume 505 Å³/cell.